No. 1
First-principles (PBE-GGA) data for a relaxed Na2AsRh2S6 crystal, as listed in Alexandria.

The calculation puts the spin magnetization at 0.00 μB/cell.

The space group is C2/m (No. 12) and the conventional cell measures 6.1774, 10.7862 and 6.9428 Å, with angles of 90.00, 107.09 and 90.00 degrees. The inequivalent atoms are Na at (0.0000, 0.1625, 0.0000), As at (0.0000, 0.0000, 0.5000), Rh at (0.0000, 0.3327, 0.5000), S at (0.2186, 0.5000, 0.6942) and S at (0.2355, 0.1737, 0.6926).



No. 2
First-principles (PBE-GGA) data for a relaxed NaAs2RhSe crystal, as listed in Alexandria.

The calculation puts the energy above the lowest structure with this stoichiometry at 1.269 eV per atom. The calculation puts the spin magnetization at 0.00 μB/cell.

The space group is P4/mmm (No. 123) and the conventional cell measures 4.8386, 4.8386 and 4.9066 Å, with angles of 90.00, 90.00 and 90.00 degrees. The inequivalent atoms are Na at (0.0000, 0.0000, 0.0000), As at (0.0000, 0.5000, 0.0000), Rh at (0.5000, 0.5000, 0.5000) and Se at (0.0000, 0.0000, 0.5000).



No. 3
First-principles (PBE-GGA) data for a relaxed NaAs2RhSe crystal, as listed in Alexandria.

The calculation puts the energy above the lowest structure with this stoichiometry at 0.000 eV per atom. The calculation puts the spin magnetization at 0.00 μB/cell.

The space group is P4/mmm (No. 123) and the conventional cell measures 4.6872, 4.6872 and 5.5881 Å, with angles of 90.00, 90.00 and 90.00 degrees. The inequivalent atoms are Na at (0.0000, 0.0000, 0.0000), As at (0.0000, 0.5000, 0.5000), Rh at (0.5000, 0.5000, 0.5000) and Se at (0.5000, 0.5000, 0.0000).



| no. | formation energy (no corrections) (eV per atom) |
| --- | --- |
| 1 | -0.587 |
| 2 | 1.285 |
| 3 | 0.016 |